Material: Ca2NpGe3Ir4
Method: DFT, PBE-GGA
State: optimized geometry

DOS at the Fermi energy (states/eV/f.u.): 11.48
ρ (Mg/m³): 11.0
Uncorrected energy (eV for the cell shown): -71.7
ΔE_f (eV/atom): -0.548

Structure (POSCAR):
```
Ca2NpGe3Ir4
1.0
-2.187 1.317 -3.390
2.946 -1.678 -2.552
-5.503 -9.471 -0.128
Np Ca Ge Ir
1 2 3 4
Direct
0.500 0.500 0.500
0.000 0.500 0.772
0.500 0.000 0.228
0.500 0.000 0.878
0.000 0.500 0.122
0.000 0.000 0.500
0.000 0.000 0.000
0.500 0.000 0.650
0.500 0.500 0.000
0.000 0.500 0.350
```